Entry from the Alexandria database: crystalline NbAsPd2I at its relaxed geometry (GGA-PBE).

Values from the calculation:
- total energy (eV/atom) = -4.064
- energy above the lowest structure with this stoichiometry (meV per atom) = 494
- energy relative to the elements, uncorrected (eV/atom) = 1.267

Lattice parameters (Å, degrees): 4.8509 4.8509 5.5866 90.00 90.00 90.00
With the nearest neighbours (Å) after each atom.
Space group P4/mmm (No. 123)
Symmetry-distinct sites (fractional):
Nb  0.0000  0.0000  0.0000  4 As 3.43, 8 Pd 3.70
As  0.5000  0.5000  0.0000  2 I 2.79
Pd  0.0000  0.5000  0.5000  2 I 2.43
I  0.5000  0.5000  0.5000  4 Pd 2.43



Entry from the Alexandria database: crystalline NbAsPd2I at its relaxed geometry (GGA-PBE).

Values from the calculation:
- total energy (eV/atom) = -4.559
- energy above the lowest structure with this stoichiometry (meV per atom) = 0
- energy relative to the elements, uncorrected (eV/atom) = 0.773

Lattice parameters (Å, degrees): 4.6419 4.6419 5.6981 90.00 90.00 90.00
With the nearest neighbours (Å) after each atom.
Space group P4/mmm (No. 123)
Symmetry-distinct sites (fractional):
Nb  0.0000  0.0000  0.0000  4 I 3.28, 8 Pd 3.67
As  0.5000  0.5000  0.5000  4 Pd 2.32
Pd  0.0000  0.5000  0.5000  2 As 2.32
I  0.5000  0.5000  0.0000  2 As 2.85



Entry from the Alexandria database: crystalline NbAs2PtI at its relaxed geometry (GGA-PBE).

Values from the calculation:
- total energy (eV/atom) = -3.684
- energy relative to the elements, uncorrected (eV/atom) = 1.708

Lattice parameters (Å, degrees): 5.1876 5.1876 4.9148 90.00 90.00 90.00
With the nearest neighbours (Å) after each atom.
Space group P4/mmm (No. 123)
Symmetry-distinct sites (fractional):
Nb  0.0000  0.0000  0.0000  8 As 3.57, 4 Pt 3.67
As  0.0000  0.5000  0.5000  2 I 2.59
Pt  0.5000  0.5000  0.0000  2 I 2.46
I  0.5000  0.5000  0.5000  2 Pt 2.46, 4 As 2.59



Entry from the Alexandria database: crystalline NbAsRh2I at its relaxed geometry (GGA-PBE).

Values from the calculation:
- total energy (eV/atom) = -5.582
- energy relative to the elements, uncorrected (eV/atom) = 0.613

Lattice parameters (Å, degrees): 4.6293 4.6293 4.9212 90.00 90.00 90.00
With the nearest neighbours (Å) after each atom.
Space group P4/mmm (No. 123)
Symmetry-distinct sites (fractional):
Nb  0.0000  0.0000  0.0000  2 As 2.46
As  0.0000  0.0000  0.5000  4 Rh 2.31, 2 Nb 2.46
Rh  0.0000  0.5000  0.5000  2 As 2.31
I  0.5000  0.5000  0.0000  4 Nb 3.27, 8 Rh 3.38



Entry from the Alexandria database: crystalline NbSbAsI2 at its relaxed geometry (GGA-PBE).

Values from the calculation:
- total energy (eV/atom) = -3.322
- energy above the lowest structure with this stoichiometry (meV per atom) = 455
- energy relative to the elements, uncorrected (eV/atom) = 1.067

Lattice parameters (Å, degrees): 5.4647 5.4647 5.5478 90.00 90.00 90.00
With the nearest neighbours (Å) after each atom.
Space group P4/mmm (No. 123)
Symmetry-distinct sites (fractional):
Nb  0.0000  0.0000  0.0000  4 Sb 3.86, 8 I 3.89
Sb  0.5000  0.5000  0.0000  2 As 2.77
As  0.5000  0.5000  0.5000  4 I 2.73, 2 Sb 2.77
I  0.0000  0.5000  0.5000  2 As 2.73



Entry from the Alexandria database: crystalline NbSbAsI2 at its relaxed geometry (GGA-PBE).

Values from the calculation:
- total energy (eV/atom) = -3.777
- energy above the lowest structure with this stoichiometry (meV per atom) = 0
- energy relative to the elements, uncorrected (eV/atom) = 0.612

Lattice parameters (Å, degrees): 5.4628 5.4628 5.6488 90.00 90.00 90.00
With the nearest neighbours (Å) after each atom.
Space group P4/mmm (No. 123)
Symmetry-distinct sites (fractional):
Nb  0.0000  0.0000  0.0000  4 I 2.73, 2 Sb 2.82
Sb  0.0000  0.0000  0.5000  2 Nb 2.82
As  0.5000  0.5000  0.5000  4 Sb 3.86, 8 I 3.93
I  0.0000  0.5000  0.0000  2 Nb 2.73



Entry from the Alexandria database: crystalline NbAsSe2I at its relaxed geometry (GGA-PBE).

Values from the calculation:
- total energy (eV/atom) = -3.251
- energy above the lowest structure with this stoichiometry (meV per atom) = 1368
- energy relative to the elements, uncorrected (eV/atom) = 1.397

Lattice parameters (Å, degrees): 5.2504 5.2504 5.3391 90.00 90.00 90.00
With the nearest neighbours (Å) after each atom.
Space group P4/mmm (No. 123)
Symmetry-distinct sites (fractional):
Nb  0.0000  0.0000  0.0000  4 As 3.71, 8 Se 3.74
As  0.5000  0.5000  0.0000  2 I 2.67
Se  0.0000  0.5000  0.5000  2 I 2.63
I  0.5000  0.5000  0.5000  4 Se 2.63, 2 As 2.67



Entry from the Alexandria database: crystalline NbAsSe2I at its relaxed geometry (GGA-PBE).

Values from the calculation:
- total energy (eV/atom) = -4.619
- energy above the lowest structure with this stoichiometry (meV per atom) = 0
- energy relative to the elements, uncorrected (eV/atom) = 0.029

Lattice parameters (Å, degrees): 4.9499 4.9499 5.4277 90.00 90.00 90.00
With the nearest neighbours (Å) after each atom.
Space group P4/mmm (No. 123)
Symmetry-distinct sites (fractional):
Nb  0.0000  0.0000  0.0000  4 Se 2.47, 2 As 2.71
As  0.0000  0.0000  0.5000  2 Nb 2.71
Se  0.0000  0.5000  0.0000  2 Nb 2.47
I  0.5000  0.5000  0.5000  4 As 3.50, 8 Se 3.67